(1)
The following is a PBE calculation of an optimized crystal structure of KTaS2, from Alexandria.

Cell: 4.7107 4.7107 4.7107 Å, 60.00 60.00 60.00°
With the nearest neighbours (Å) after each atom.
Fractional positions:
K1 0.0000 0.0000 0.0000  8 S 2.88
Ta1 0.5000 0.5000 0.5000  8 S 2.88
S1 0.2500 0.2500 0.2500  4 Ta 2.88, 4 K 2.88
S2 0.7500 0.7500 0.7500  4 Ta 2.88, 4 K 2.88

Values from the calculation:
Formation energy from raw total energies, eV per atom: -0.1708
Space-group type: No. 225
Crystal system: cubic

=====

(2)
The following is a PBE calculation of an optimized crystal structure of K4Ta2S11, from Alexandria.

Cell: 13.5235 7.5521 18.4123 Å, 90.00 90.00 90.00°
With the nearest neighbours (Å) after each atom.
Fractional positions:
K1 0.0370 0.2184 0.1035  7 S 3.29-3.59
K2 0.0923 0.1851 0.4015  8 S 3.29-3.68
K3 0.2158 0.7910 0.2524  7 S 3.28-3.59
K4 0.2276 0.6707 0.0000  5 S 3.08-3.36
K5 0.2724 0.6707 0.5000  5 S 3.08-3.36
K6 0.2842 0.7910 0.7524  7 S 3.28-3.59
K7 0.4077 0.1851 0.9015  8 S 3.29-3.68
K8 0.4630 0.2184 0.6035  7 S 3.29-3.59
K9 0.5370 0.7816 0.1035  7 S 3.29-3.59
K10 0.5923 0.8149 0.4015  8 S 3.29-3.68
K11 0.7158 0.2090 0.2524  7 S 3.28-3.59
K12 0.7276 0.3293 0.0000  5 S 3.08-3.36
K13 0.7724 0.3293 0.5000  5 S 3.08-3.36
K14 0.7842 0.2090 0.7524  7 S 3.28-3.59
K15 0.9077 0.8149 0.9015  8 S 3.29-3.68
K16 0.9630 0.7816 0.6035  7 S 3.29-3.59
Ta1 0.0558 0.2596 0.8448  6 S 2.26-2.52
Ta2 0.1176 0.1985 0.6627  6 S 2.26-2.51
Ta3 0.3824 0.1985 0.1627  6 S 2.26-2.51
Ta4 0.4442 0.2596 0.3448  6 S 2.26-2.52
Ta5 0.5558 0.7404 0.8448  6 S 2.26-2.52
Ta6 0.6176 0.8015 0.6627  6 S 2.26-2.51
Ta7 0.8824 0.8015 0.1627  6 S 2.26-2.51
Ta8 0.9442 0.7404 0.3448  6 S 2.26-2.52
S1 0.0149 0.0295 0.7521  2 Ta 2.50
S2 0.0175 0.4642 0.7429  1 S 2.09
S3 0.0437 0.7554 0.1043  1 S 2.09
S4 0.0704 0.3933 0.5576  1 S 2.09
S5 0.0889 0.7451 0.4056  1 Ta 2.26
S6 0.0940 0.5767 0.8300  1 S 2.09
S7 0.1520 0.0174 0.9002  1 S 2.09
S8 0.1710 0.2606 0.9521  1 S 2.09
S9 0.1834 0.9663 0.6025  1 Ta 2.26
S10 0.2348 0.2207 0.7674  1 S 2.09
S11 0.2396 0.3955 0.1812  1 S 2.09
S12 0.2604 0.3955 0.6812  1 S 2.09
S13 0.2652 0.2207 0.2674  1 S 2.09
S14 0.3166 0.9663 0.1025  1 Ta 2.26
S15 0.3290 0.2606 0.4521  1 S 2.09
S16 0.3480 0.0174 0.4002  1 S 2.09
S17 0.4060 0.5767 0.3300  1 S 2.09
S18 0.4111 0.7451 0.9056  1 Ta 2.26
S19 0.4296 0.3933 0.0576  1 S 2.09
S20 0.4563 0.7554 0.6043  1 S 2.09
S21 0.4825 0.4642 0.2429  1 S 2.09
S22 0.4851 0.0295 0.2521  2 Ta 2.50
S23 0.5149 0.9705 0.7521  2 Ta 2.50
S24 0.5175 0.5358 0.7429  1 S 2.09
S25 0.5437 0.2446 0.1043  1 S 2.09
S26 0.5704 0.6067 0.5576  1 S 2.09
S27 0.5889 0.2549 0.4056  1 Ta 2.26
S28 0.5940 0.4233 0.8300  1 S 2.09
S29 0.6520 0.9826 0.9002  1 S 2.09
S30 0.6710 0.7394 0.9521  1 S 2.09
S31 0.6834 0.0337 0.6025  1 Ta 2.26
S32 0.7348 0.7793 0.7674  1 S 2.09
S33 0.7396 0.6045 0.1812  1 S 2.09
S34 0.7604 0.6045 0.6812  1 S 2.09
S35 0.7652 0.7793 0.2674  1 S 2.09
S36 0.8166 0.0337 0.1025  1 Ta 2.26
S37 0.8290 0.7394 0.4521  1 S 2.09
S38 0.8480 0.9826 0.4002  1 S 2.09
S39 0.9060 0.4233 0.3300  1 S 2.09
S40 0.9111 0.2549 0.9056  1 Ta 2.26
S41 0.9296 0.6067 0.0576  1 S 2.09
S42 0.9563 0.2446 0.6043  1 S 2.09
S43 0.9825 0.5358 0.2429  1 S 2.09
S44 0.9851 0.9705 0.2521  2 Ta 2.50

Values from the calculation:
Formation energy from raw total energies, eV per atom: -0.9310
Space-group type: No. 29
Crystal system: orthorhombic

=====

(3)
The following is a PBE calculation of an optimized crystal structure of K2Ta4S7, from Alexandria.

Cell: 6.0147 6.0147 8.0337 Å, 90.05 90.05 110.20°
With the nearest neighbours (Å) after each atom.
Fractional positions:
K1 0.1679 0.8321 0.0000  5 S 3.01-3.28, 1 K 3.31
K2 0.8321 0.1679 0.0000  5 S 3.01-3.28, 1 K 3.31
Ta1 0.2212 0.7788 0.5000  6 S 2.47-2.65
Ta2 0.4995 0.4995 0.6870  4 S 2.41-2.51
Ta3 0.5005 0.5005 0.3130  4 S 2.41-2.51
Ta4 0.7788 0.2212 0.5000  6 S 2.47-2.65
S1 0.0849 0.4526 0.7046  3 Ta 2.42-2.50
S2 0.1580 0.1580 0.3719  3 Ta 2.41-2.65
S3 0.4526 0.0849 0.7046  3 Ta 2.42-2.50
S4 0.5000 0.5000 0.0000  2 Ta 2.51
S5 0.5474 0.9151 0.2954  3 Ta 2.42-2.50
S6 0.8420 0.8420 0.6281  3 Ta 2.41-2.65
S7 0.9151 0.5474 0.2954  3 Ta 2.42-2.50

Values from the calculation:
Formation energy from raw total energies, eV per atom: -0.8560
Space-group type: No. 12
Crystal system: monoclinic

=====

(4)
The following is a PBE calculation of an optimized crystal structure of K3Tb3TaS8, from Alexandria.

Cell: 8.7970 8.7970 8.7970 Å, 53.15 53.15 53.15°
With the nearest neighbours (Å) after each atom.
Fractional positions:
K1 0.0000 0.5000 0.5000  6 S 3.18-3.20
K2 0.5000 0.0000 0.5000  6 S 3.18-3.20
K3 0.5000 0.5000 0.0000  6 S 3.18-3.20
Tb1 0.0000 0.0000 0.5000  6 S 2.75-2.77
Tb2 0.0000 0.5000 0.0000  6 S 2.75-2.77
Tb3 0.5000 0.0000 0.0000  6 S 2.75-2.77
Ta1 0.5000 0.5000 0.5000  6 S 2.54
S1 0.2349 0.2349 0.2349  3 Tb 2.75
S2 0.2566 0.7170 0.7170  1 Ta 2.54, 2 Tb 2.77
S3 0.2830 0.2830 0.7434  1 Ta 2.54, 2 Tb 2.77
S4 0.2830 0.7434 0.2830  1 Ta 2.54, 2 Tb 2.77
S5 0.7170 0.2566 0.7170  1 Ta 2.54, 2 Tb 2.77
S6 0.7170 0.7170 0.2566  1 Ta 2.54, 2 Tb 2.77
S7 0.7434 0.2830 0.2830  1 Ta 2.54, 2 Tb 2.77
S8 0.7651 0.7651 0.7651  3 Tb 2.75

Values from the calculation:
Formation energy from raw total energies, eV per atom: -1.6617
Space-group type: No. 166
Crystal system: trigonal

=====

(5)
The following is a PBE calculation of an optimized crystal structure of K3TaTi3S8, from Alexandria.

Cell: 8.5887 8.5887 8.5887 Å, 48.43 48.43 48.43°
With the nearest neighbours (Å) after each atom.
Fractional positions:
K1 0.0000 0.5000 0.5000  6 S 3.11
K2 0.5000 0.0000 0.5000  6 S 3.11
K3 0.5000 0.5000 0.0000  6 S 3.11
Ta1 0.5000 0.5000 0.5000  6 S 2.51
Ti1 0.0000 0.0000 0.5000  6 S 2.48
Ti2 0.0000 0.5000 0.0000  6 S 2.48
Ti3 0.5000 0.0000 0.0000  6 S 2.48
S1 0.2266 0.7319 0.7319  2 Ti 2.48, 1 Ta 2.51
S2 0.2295 0.2295 0.2295  3 Ti 2.48
S3 0.2681 0.2681 0.7734  2 Ti 2.48, 1 Ta 2.51
S4 0.2681 0.7734 0.2681  2 Ti 2.48, 1 Ta 2.51
S5 0.7319 0.2266 0.7319  2 Ti 2.48, 1 Ta 2.51
S6 0.7319 0.7319 0.2266  2 Ti 2.48, 1 Ta 2.51
S7 0.7705 0.7705 0.7705  3 Ti 2.48
S8 0.7734 0.2681 0.2681  2 Ti 2.48, 1 Ta 2.51

Values from the calculation:
Formation energy from raw total energies, eV per atom: -1.3079
Space-group type: No. 166
Crystal system: trigonal

=====

(6)
The following is a PBE calculation of an optimized crystal structure of KUTa2S8, from Alexandria.

Cell: 10.1678 10.1678 10.1678 Å, 37.49 37.49 37.49°
With the nearest neighbours (Å) after each atom.
Fractional positions:
K1 0.0000 0.0000 0.0000  12 S 3.79-3.84
U1 0.5000 0.5000 0.5000  6 S 2.63
Ta1 0.2433 0.2433 0.2433  4 S 2.20-2.32
Ta2 0.7567 0.7567 0.7567  4 S 2.20-2.32
S1 0.1237 0.7734 0.4378  1 Ta 2.32
S2 0.2266 0.5622 0.8763  1 Ta 2.32
S3 0.3208 0.3208 0.3208  1 Ta 2.20
S4 0.4378 0.1237 0.7734  1 Ta 2.32
S5 0.5622 0.8763 0.2266  1 Ta 2.32
S6 0.6792 0.6792 0.6792  1 Ta 2.20
S7 0.7734 0.4378 0.1237  1 Ta 2.32
S8 0.8763 0.2266 0.5622  1 Ta 2.32

Values from the calculation:
Formation energy from raw total energies, eV per atom: -0.9549
Space-group type: No. 148
Crystal system: trigonal

=====

(7)
The following is a PBE calculation of an optimized crystal structure of KU2TaS8, from Alexandria.

Cell: 5.9042 8.2199 6.3253 Å, 90.00 91.34 90.00°
With the nearest neighbours (Å) after each atom.
Fractional positions:
K1 0.0000 0.0000 0.0000  6 S 2.97-3.02
U1 0.5000 0.2533 0.5000  6 S 2.59-2.71
U2 0.5000 0.7467 0.5000  6 S 2.59-2.71
Ta1 0.0000 0.5000 0.0000  6 S 2.41-2.60
S1 0.2395 0.2988 0.1695  1 Ta 2.41, 1 U 2.59
S2 0.2395 0.7012 0.1695  1 Ta 2.41, 1 U 2.59
S3 0.2656 0.5000 0.6779  1 Ta 2.60, 2 U 2.71
S4 0.2688 0.0000 0.6092  2 U 2.59
S5 0.7312 0.0000 0.3908  2 U 2.59
S6 0.7344 0.5000 0.3221  1 Ta 2.60, 2 U 2.71
S7 0.7605 0.2988 0.8305  1 Ta 2.41, 1 U 2.59
S8 0.7605 0.7012 0.8305  1 Ta 2.41, 1 U 2.59

Values from the calculation:
Formation energy from raw total energies, eV per atom: -1.0066
Space-group type: No. 10
Crystal system: monoclinic

=====

(8)
The following is a PBE calculation of an optimized crystal structure of KTaV2S, from Alexandria.

Cell: 4.7035 4.7035 5.9795 Å, 90.00 90.00 90.00°
With the nearest neighbours (Å) after each atom.
Fractional positions:
K1 0.0000 0.0000 0.0000  2 Ta 2.99, 4 S 3.33
Ta1 0.0000 0.0000 0.5000  4 V 2.35
V1 0.0000 0.5000 0.5000  2 Ta 2.35
V2 0.5000 0.0000 0.5000  2 Ta 2.35
S1 0.5000 0.5000 0.0000  4 K 3.33

Values from the calculation:
Formation energy from raw total energies, eV per atom: 1.6048
Space-group type: No. 123
Crystal system: tetragonal